Density functional theory data (PBE with a Hubbard U) for a relaxed NaEuCo4O12 crystal.

Symmetry: Amm2
Fermi-level density of states, states/eV per cell: 10.61
VASP energy, eV/atom: -5.7836

Cell: 7.513 5.263 5.263 Å, 90.00 90.00 90.00°
Fractional coordinates of all 18 atoms:
Na (0.000, 0.000, 0.000)
Eu (0.500, 0.499, 0.499)
Co (0.242, 0.500, 0.999)
Co (0.242, 0.999, 0.500)
Co (0.758, 0.500, 0.999)
Co (0.758, 0.999, 0.500)
O (0.000, 0.502, 0.998)
O (0.000, 0.998, 0.502)
O (0.256, 0.255, 0.255)
O (0.258, 0.255, 0.744)
O (0.258, 0.744, 0.255)
O (0.261, 0.743, 0.743)
O (0.500, 0.002, 0.498)
O (0.500, 0.498, 0.002)
O (0.739, 0.743, 0.743)
O (0.742, 0.255, 0.744)
O (0.742, 0.744, 0.255)
O (0.744, 0.255, 0.255)